#w
Compound: SiTcBr
Source: Alexandria
Functional: GGA-PBEsol
Structure: optimized geometry

Geometry as POSCAR:
```
SiTcBr
1.0
4.3198 0.0000 0.0000
-2.1599 3.7411 0.0000
0.0000 0.0000 2.9382
Si Tc Br
1 1 1
Cartesian
0.0000 0.0000 0.0000
2.1599 1.2470 1.4691
0.0000 2.4941 1.4691
```

## Properties
Mass density ... 7.2 g/cm³
Density of states at the Fermi level ... 0.8296 states/eV/atom

---

#x
Compound: SiTcBr
Source: Alexandria
Functional: GGA-PBEsol
Structure: optimized geometry

Geometry as POSCAR:
```
SiTcBr
1.0
-1.4663 1.8609 5.9038
1.4663 -1.8609 5.9038
1.4663 1.8609 -5.9038
Si Tc Br
1 1 1
Cartesian
0.0000 0.0000 0.0000
0.0000 0.0000 6.2964
0.0000 0.0000 8.6773
```

## Properties
Mass density ... 5.3 g/cm³
Density of states at the Fermi level ... 0.5743 states/eV/atom

---

The winner here is #x, beating the second structure by 39.9 kJ/mol of atoms.

---

#w
Compound: SiTcBr
Source: Alexandria
Functional: GGA-PBEsol
Structure: optimized geometry

Geometry as POSCAR:
```
SiTcBr
1.0
0.0000 3.0229 3.0229
3.0229 0.0000 3.0229
3.0229 3.0229 0.0000
Si Tc Br
1 1 1
Cartesian
0.0000 0.0000 0.0000
3.0229 3.0229 3.0229
1.5114 1.5114 1.5114
```

## Properties
Mass density ... 6.2 g/cm³
Density of states at the Fermi level ... 0.5797 states/eV/atom

---

#x
Compound: SiTcBr
Source: Alexandria
Functional: GGA-PBEsol
Structure: optimized geometry

Geometry as POSCAR:
```
SiTcBr
1.0
0.0000 2.6302 6.1611
1.5577 0.0000 6.1611
1.5577 2.6302 0.0000
Si Tc Br
1 1 1
Cartesian
0.0000 0.0000 0.0000
1.5577 2.6302 7.9073
1.5577 2.6302 3.8589
```

## Properties
Mass density ... 6.8 g/cm³
Density of states at the Fermi level ... 0.5758 states/eV/atom

---

The winner here is #x, beating the second structure by 92.7 kJ/mol of atoms.

---

#w
Compound: SiTe2Br
Source: Alexandria
Functional: GGA-PBEsol
Structure: optimized geometry

Geometry as POSCAR:
```
SiTe2Br
1.0
5.4663 -1.8125 0.0000
5.4663 1.8125 0.0000
-1.4840 0.0000 5.2900
Si Te Br
1 2 1
Cartesian
0.0000 0.0000 0.0000
2.1655 0.0000 4.4009
7.2831 0.0000 0.8891
4.7243 0.0000 2.6450
```

## Properties
Mass density ... 5.8 g/cm³
Density of states at the Fermi level ... 0.4539 states/eV/atom

---

#x
Compound: SiTe2Br
Source: Alexandria
Functional: GGA-PBEsol
Structure: optimized geometry

Geometry as POSCAR:
```
SiTe2Br
1.0
3.9719 0.0000 0.0000
0.0000 5.2817 0.0000
-1.8108 0.0000 5.3382
Si Te Br
1 2 1
Cartesian
0.0000 0.0000 0.0000
1.9474 0.0000 1.7706
3.1742 2.6408 0.4976
0.0628 2.6408 3.3007
```

## Properties
Mass density ... 5.4 g/cm³
Density of states at the Fermi level ... 0.3633 states/eV/atom

---

The winner here is #x, beating the second structure by 1.2 kJ/mol of atoms.

---

#w
Compound: Si2TeBr
Source: Alexandria
Functional: GGA-PBEsol
Structure: optimized geometry

Geometry as POSCAR:
```
Si2TeBr
1.0
-1.7622 2.3842 5.2019
1.7622 -2.3842 5.2019
1.7622 2.3842 -5.2019
Si Te Br
2 1 1
Cartesian
0.0000 0.0000 0.0000
0.0000 2.3842 3.3088
1.7622 0.0000 2.1490
0.0000 0.0000 5.0866
```

## Properties
Mass density ... 5.0 g/cm³
Density of states at the Fermi level ... 0.4377 states/eV/atom

---

#x
Compound: Si2TeBr
Source: Alexandria
Functional: GGA-PBEsol
Structure: optimized geometry

Geometry as POSCAR:
```
Si2TeBr
1.0
-2.8211 2.8211 2.9528
2.8211 -2.8211 2.9528
2.8211 2.8211 -2.9528
Si Te Br
2 1 1
Cartesian
2.8211 0.0000 0.0000
0.0000 2.8211 0.0000
0.0000 0.0000 0.0000
0.0000 0.0000 2.9528
```

## Properties
Mass density ... 4.7 g/cm³
Density of states at the Fermi level ... 0.4571 states/eV/atom

---

The winner here is #w, beating the second structure by 8.9 kJ/mol of atoms.

---

#w
Compound: TlSiBr
Source: Alexandria
Functional: GGA-PBEsol
Structure: optimized geometry

Geometry as POSCAR:
```
TlSiBr
1.0
3.3903 0.0000 0.0000
-1.6951 2.9360 0.0000
0.0000 0.0000 7.1937
Tl Si Br
1 1 1
Cartesian
0.0000 0.0000 0.0000
1.6951 0.9787 2.3566
0.0000 1.9574 4.2513
```

## Properties
Mass density ... 7.2 g/cm³
Density of states at the Fermi level ... 0.4862 states/eV/atom

---

#x
Compound: TlSiBr
Source: Alexandria
Functional: GGA-PBEsol
Structure: optimized geometry

Geometry as POSCAR:
```
TlSiBr
1.0
0.0000 3.5101 3.5101
3.5101 0.0000 3.5101
3.5101 3.5101 0.0000
Tl Si Br
1 1 1
Cartesian
0.0000 0.0000 0.0000
1.7550 1.7550 1.7550
5.2651 5.2651 5.2651
```

## Properties
Mass density ... 6.0 g/cm³
Density of states at the Fermi level ... 1.2018 states/eV/atom

---

The winner here is #w, beating the second structure by 37.1 kJ/mol of atoms.

---

#w
Compound: TlSiBr2
Source: Alexandria
Functional: GGA-PBEsol
Structure: optimized geometry

Geometry as POSCAR:
```
TlSiBr2
1.0
3.4921 0.0000 0.0000
0.0000 3.9795 0.0000
0.0000 0.0000 7.7506
Tl Si Br
1 1 2
Cartesian
0.0000 0.0000 0.0000
1.7461 0.0000 3.8753
1.7461 1.9897 2.0126
1.7461 1.9897 5.7380
```

## Properties
Mass density ... 6.0 g/cm³
Density of states at the Fermi level ... 0.2042 states/eV/atom

---

#x
Compound: TlSiBr2
Source: Alexandria
Functional: GGA-PBEsol
Structure: optimized geometry

Geometry as POSCAR:
```
TlSiBr2
1.0
1.8319 1.0577 9.0618
-1.8319 1.0577 9.0618
0.0000 -2.1153 9.0618
Tl Si Br
1 1 2
Cartesian
0.0000 0.0000 0.0000
0.0000 0.0000 13.5926
0.0000 0.0000 6.3560
0.0000 0.0000 20.8293
```

## Properties
Mass density ... 6.2 g/cm³
Density of states at the Fermi level ... 0.2505 states/eV/atom

---

The winner here is #w, beating the second structure by 5.6 kJ/mol of atoms.

---

#w
Compound: TlSi2Br
Source: Alexandria
Functional: GGA-PBEsol
Structure: optimized geometry

Geometry as POSCAR:
```
TlSi2Br
1.0
1.6337 -2.7398 0.0000
1.6337 2.7398 0.0000
0.0000 0.0000 9.4876
Tl Si Br
1 2 1
Cartesian
0.0000 0.0000 0.0000
1.6337 0.0000 2.5379
1.6337 0.0000 6.9497
0.0000 0.0000 4.7438
```

## Properties
Mass density ... 6.7 g/cm³
Density of states at the Fermi level ... 0.4443 states/eV/atom

---

#x
Compound: TlSi2Br
Source: Alexandria
Functional: GGA-PBEsol
Structure: optimized geometry

Geometry as POSCAR:
```
TlSi2Br
1.0
0.0000 2.9933 5.3863
2.8581 0.0000 5.3863
2.8581 2.9933 0.0000
Tl Si Br
1 2 1
Cartesian
0.0000 0.0000 0.0000
2.8581 1.4967 2.6931
0.0000 1.4967 2.6931
2.8581 2.9933 5.3863
```

## Properties
Mass density ... 6.1 g/cm³
Density of states at the Fermi level ... 0.5781 states/eV/atom

---

The winner here is #x, beating the second structure by 5.3 kJ/mol of atoms.